1.
{"formula": "CaDy3In2", "functional": "PBE-GGA", "state": "relaxed", "lattice": [[-3.522, -1.533, -3.808], [-2.382, -4.829, 4.147], [-6.305, 6.034, 3.404]], "species": ["Ca", "Ca", "Dy", "Dy", "Dy", "Dy", "Dy", "Dy", "In", "In", "In", "In"], "frac_coords": [[0.500, 0.500, 0.501], [0.500, 0.000, 0.499], [0.000, 0.500, 0.999], [0.000, 0.000, 0.001], [0.500, 0.749, 0.165], [0.500, 0.249, 0.835], [0.000, 0.251, 0.331], [0.000, 0.751, 0.669], [0.500, 0.750, 0.835], [0.500, 0.250, 0.165], [0.000, 0.250, 0.669], [0.000, 0.750, 0.331]], "n_ef_per_ev_atom": 0.769, "magnetic_moment_mub_per_fu": 0.0, "density_g_cm3": 7.303, "ef_ev_per_atom": -0.368, "sg": "Pmc2_1"}

***

2.
{"formula": "Ca2DyIn", "functional": "PBE-GGA", "state": "relaxed", "lattice": [[5.241, 0.000, 0.000], [0.000, 4.853, 0.000], [0.000, 0.000, 4.853]], "species": ["Ca", "Ca", "In", "Dy"], "frac_coords": [[0.000, 0.000, 0.500], [0.000, 0.500, 0.000], [0.500, 0.500, 0.500], [0.500, 0.000, 0.000]], "n_ef_per_ev_atom": 0.314, "magnetic_moment_mub_per_fu": 0.0, "density_g_cm3": 4.810, "ef_ev_per_atom": -0.217, "sg": "P4/mmm"}

***

3.
{"formula": "CaDy2In2", "functional": "PBE-GGA", "state": "relaxed", "lattice": [[3.701, 0.000, -0.496], [0.000, 5.411, 0.000], [0.023, 0.000, 14.239]], "species": ["Ca", "Ca", "Dy", "Dy", "Dy", "Dy", "In", "In", "In", "In"], "frac_coords": [[0.852, 0.750, 0.704], [0.148, 0.250, 0.296], [0.048, 0.750, 0.097], [0.952, 0.250, 0.903], [0.234, 0.750, 0.468], [0.766, 0.250, 0.532], [0.642, 0.750, 0.284], [0.358, 0.250, 0.716], [0.451, 0.750, 0.903], [0.549, 0.250, 0.097]], "n_ef_per_ev_atom": 0.756, "magnetic_moment_mub_per_fu": 0.0, "density_g_cm3": 6.925, "ef_ev_per_atom": -0.367, "sg": "P2_1/m"}

***

4.
{"formula": "CaDy5In3", "functional": "PBE-GGA", "state": "relaxed", "lattice": [[6.770, 0.000, 0.000], [0.000, 9.354, 0.000], [0.000, -4.677, 8.100]], "species": ["Ca", "Ca", "Dy", "Dy", "Dy", "Dy", "Dy", "Dy", "Dy", "Dy", "Dy", "Dy", "In", "In", "In", "In", "In", "In"], "frac_coords": [[0.000, 0.000, 0.000], [0.500, 0.000, 0.000], [0.000, 0.667, 0.333], [0.500, 0.333, 0.667], [0.000, 0.333, 0.667], [0.500, 0.667, 0.333], [0.750, 0.665, 0.665], [0.750, 0.000, 0.335], [0.750, 0.335, 0.000], [0.250, 0.335, 0.335], [0.250, 0.000, 0.665], [0.250, 0.665, 0.000], [0.750, 0.334, 0.334], [0.750, 0.000, 0.666], [0.750, 0.666, 0.000], [0.250, 0.666, 0.666], [0.250, 0.000, 0.334], [0.250, 0.334, 0.000]], "n_ef_per_ev_atom": 0.838, "magnetic_moment_mub_per_fu": 0.0, "density_g_cm3": 7.751, "ef_ev_per_atom": -0.365, "sg": "P6_3/mcm"}

***

5.
{"formula": "CaDy5In4", "functional": "PBE-GGA", "state": "relaxed", "lattice": [[8.206, 0.000, 0.000], [0.000, 8.772, 0.000], [0.000, 0.000, 8.871]], "species": ["Ca", "Ca", "Dy", "Dy", "Dy", "Dy", "Dy", "Dy", "Dy", "Dy", "Dy", "Dy", "In", "In", "In", "In", "In", "In", "In", "In"], "frac_coords": [[0.600, 0.000, 0.000], [0.400, 0.500, 0.500], [0.253, 0.767, 0.799], [0.253, 0.233, 0.799], [0.922, 0.500, 0.000], [0.253, 0.767, 0.201], [0.253, 0.233, 0.201], [0.747, 0.733, 0.299], [0.747, 0.267, 0.299], [0.078, 0.000, 0.500], [0.747, 0.267, 0.701], [0.747, 0.733, 0.701], [0.964, 0.000, 0.836], [0.547, 0.657, 0.000], [0.547, 0.343, 0.000], [0.964, 0.000, 0.164], [0.036, 0.500, 0.336], [0.453, 0.843, 0.500], [0.453, 0.157, 0.500], [0.036, 0.500, 0.664]], "n_ef_per_ev_atom": 1.154, "magnetic_moment_mub_per_fu": 0.0, "density_g_cm3": 6.823, "ef_ev_per_atom": -0.075, "sg": "Pmmn"}

***

6.
{"formula": "Ca2DyIn", "functional": "PBE-GGA", "state": "relaxed", "lattice": [[-3.228, -1.665, 0.564], [-0.322, -2.540, 2.638], [-4.065, 6.710, 8.527]], "species": ["Ca", "Ca", "Dy", "In"], "frac_coords": [[0.076, 0.076, 0.773], [0.257, 0.257, 0.228], [0.501, 0.501, 0.498], [0.666, 0.666, 0.001]], "n_ef_per_ev_atom": 1.196, "magnetic_moment_mub_per_fu": 0.7, "density_g_cm3": 4.453, "ef_ev_per_atom": -0.072, "sg": "R3m"}

***

7.
{"formula": "Ca2DyIn", "functional": "PBE-GGA", "state": "relaxed", "lattice": [[3.624, 0.000, 0.000], [1.812, 3.138, 0.000], [1.812, 1.046, 12.579]], "species": ["Ca", "Ca", "In", "Dy"], "frac_coords": [[0.087, 0.087, 0.740], [0.913, 0.913, 0.260], [0.000, 0.000, 0.000], [0.500, 0.500, 0.500]], "n_ef_per_ev_atom": 1.358, "magnetic_moment_mub_per_fu": 0.0, "density_g_cm3": 4.149, "ef_ev_per_atom": 0.128, "sg": "R-3m"}

***

8.
{"formula": "CaDy3In12", "functional": "PBE-GGA", "state": "relaxed", "lattice": [[4.660, 0.000, 0.000], [0.000, 4.660, 0.000], [0.000, 0.000, 18.672]], "species": ["Ca", "Dy", "Dy", "Dy", "In", "In", "In", "In", "In", "In", "In", "In", "In", "In", "In", "In"], "frac_coords": [[0.000, 0.000, 0.000], [0.000, 0.000, 0.254], [0.000, 0.000, 0.500], [0.000, 0.000, 0.746], [0.500, 0.500, 0.000], [0.500, 0.500, 0.251], [0.500, 0.500, 0.500], [0.500, 0.500, 0.749], [0.500, 0.000, 0.127], [0.500, 0.000, 0.376], [0.500, 0.000, 0.624], [0.500, 0.000, 0.873], [0.000, 0.500, 0.127], [0.000, 0.500, 0.376], [0.000, 0.500, 0.624], [0.000, 0.500, 0.873]], "n_ef_per_ev_atom": 0.452, "magnetic_moment_mub_per_fu": 0.0, "density_g_cm3": 7.805, "ef_ev_per_atom": -0.385, "sg": "P4/mmm"}

***

9.
{"formula": "CaDy4In5", "functional": "PBE-GGA", "state": "relaxed", "lattice": [[-1.854, -1.497, 2.907], [1.687, -3.300, -0.624], [14.238, 5.066, 11.690]], "species": ["Ca", "Dy", "Dy", "Dy", "Dy", "In", "In", "In", "In", "In"], "frac_coords": [[0.000, 0.000, 0.000], [0.000, 0.000, 0.203], [0.000, 0.000, 0.402], [0.000, 0.000, 0.598], [0.000, 0.000, 0.797], [0.500, 0.500, 0.105], [0.500, 0.500, 0.303], [0.500, 0.500, 0.500], [0.500, 0.500, 0.697], [0.500, 0.500, 0.895]], "n_ef_per_ev_atom": 0.577, "magnetic_moment_mub_per_fu": 0.0, "density_g_cm3": 7.777, "ef_ev_per_atom": -0.463, "sg": "P4/mmm"}

***

10.
{"formula": "CaDy3In4", "functional": "PBE-GGA", "state": "relaxed", "lattice": [[-3.113, -4.208, 1.137], [3.226, -0.559, 6.764], [-7.408, 6.583, 4.078]], "species": ["Ca", "Ca", "In", "In", "In", "In", "In", "In", "In", "In", "Dy", "Dy", "Dy", "Dy", "Dy", "Dy"], "frac_coords": [[0.000, 0.500, 0.000], [0.000, 0.500, 0.500], [0.500, 0.752, 0.000], [0.500, 0.752, 0.500], [0.500, 0.248, 0.000], [0.500, 0.248, 0.500], [0.999, 0.752, 0.750], [0.001, 0.752, 0.250], [0.001, 0.248, 0.250], [0.999, 0.248, 0.750], [0.000, 0.000, 0.000], [0.000, 0.000, 0.500], [0.499, 0.000, 0.750], [0.501, 0.000, 0.250], [0.499, 0.500, 0.750], [0.501, 0.500, 0.250]], "n_ef_per_ev_atom": 0.597, "magnetic_moment_mub_per_fu": 0.0, "density_g_cm3": 7.598, "ef_ev_per_atom": -0.458, "sg": "P4/mmm"}

***

11.
{"formula": "CaDyIn2", "functional": "PBE-GGA", "state": "relaxed", "lattice": [[-1.132, -3.405, -0.860], [1.408, -1.724, -2.943], [7.370, -5.581, 4.482]], "species": ["Ca", "In", "In", "Dy"], "frac_coords": [[0.500, 0.500, 0.500], [0.749, 0.749, 0.754], [0.251, 0.251, 0.246], [0.000, 0.000, 0.000]], "n_ef_per_ev_atom": 0.834, "magnetic_moment_mub_per_fu": 0.0, "density_g_cm3": 6.057, "ef_ev_per_atom": -0.293, "sg": "R-3m"}

***

12.
{"formula": "Ca3DyIn12", "functional": "PBE-GGA", "state": "relaxed", "lattice": [[4.723, 0.000, 0.000], [0.000, 4.723, 0.000], [0.000, 0.000, 18.624]], "species": ["Ca", "Ca", "Ca", "Dy", "In", "In", "In", "In", "In", "In", "In", "In", "In", "In", "In", "In"], "frac_coords": [[0.000, 0.000, 0.248], [0.000, 0.000, 0.500], [0.000, 0.000, 0.752], [0.000, 0.000, 0.000], [0.500, 0.500, 0.000], [0.500, 0.500, 0.249], [0.500, 0.500, 0.500], [0.500, 0.500, 0.751], [0.500, 0.000, 0.123], [0.500, 0.000, 0.374], [0.500, 0.000, 0.626], [0.500, 0.000, 0.877], [0.000, 0.500, 0.123], [0.000, 0.500, 0.374], [0.000, 0.500, 0.626], [0.000, 0.500, 0.877]], "n_ef_per_ev_atom": 0.575, "magnetic_moment_mub_per_fu": 0.0, "density_g_cm3": 6.637, "ef_ev_per_atom": -0.340, "sg": "P4/mmm"}